A relaxed NdHg2Pd2 crystal. Source: Alexandria, functional GGA-PBE.

Properties
Crystal system ... monoclinic
Spin magnetization ... 0.000 Bohr magnetons per cell
DFT formation energy ... -0.483 eV/atom
Raw total energy ... -3.6349 eV/atom
Relative energy among the computed polymorphs ... 0.000 eV per atom

Unit cell a=5.457 b=4.696 c=9.155 alpha=90.00 beta=106.18 gamma=90.00
Sites, in units of the cell vectors:
Nd 0.142 0.250 0.272
Nd 0.858 0.750 0.728
Hg 0.225 0.250 0.636
Hg 0.382 0.750 0.062
Hg 0.618 0.250 0.938
Hg 0.775 0.750 0.364
Pd 0.108 0.250 0.926
Pd 0.340 0.750 0.489
Pd 0.660 0.250 0.511
Pd 0.892 0.750 0.074